DFT (PBE-GGA) results for a geometry-optimized Ta2AlInPt2 structure.

CIF file:
```
data_Ta2AlInPt2
_chemical_formula_sum 'Ta8 Al4 In4 Pt8'
_symmetry_space_group_name_H-M 'P 1 m 1'
_symmetry_Int_Tables_number 6
_cell_length_a 12.331
_cell_length_b 2.883
_cell_length_c 12.391
_cell_angle_alpha 90.00
_cell_angle_beta 99.07
_cell_angle_gamma 90.00
loop_
_symmetry_equiv_pos_as_xyz
'x,y,z'
'x,-y,z'
loop_
_atom_site_label
_atom_site_type_symbol
_atom_site_fract_x
_atom_site_fract_y
_atom_site_fract_z
Ta1 Ta 0.000 0.000 0.000
Ta2 Ta 0.021 0.500 0.587
Ta3 Ta 0.219 0.000 0.636
Ta4 Ta 0.298 0.500 0.265
Ta5 Ta 0.460 0.500 0.130
Ta6 Ta 0.607 0.000 0.546
Ta7 Ta 0.651 0.500 0.745
Ta8 Ta 0.856 0.000 0.144
Al1 Al 0.072 0.000 0.789
Al2 Al 0.374 0.000 0.478
Al3 Al 0.772 0.000 0.923
Al4 Al 0.802 0.500 0.615
In1 In 0.223 0.500 0.026
In2 In 0.482 0.500 0.894
In3 In 0.669 0.000 0.275
In4 In 0.977 0.500 0.338
Pt1 Pt 0.106 0.000 0.203
Pt2 Pt 0.196 0.500 0.445
Pt3 Pt 0.284 0.000 0.846
Pt4 Pt 0.450 0.000 0.685
Pt5 Pt 0.504 0.500 0.368
Pt6 Pt 0.666 0.500 0.058
Pt7 Pt 0.840 0.000 0.460
Pt8 Pt 0.902 0.500 0.809
```

Computed properties:
VASP energy (eV per atom): -7.25
M_tot (μB per cell): 0.05